[1]
Density functional theory data (PBE) for a relaxed structure of NdGa6Pt4.

Computed properties:
Spin magnetization ... 0.000 μB/atom
DOS at the Fermi energy ... 5.37 states/eV per cell
Formation energy ... -0.77 eV per atom

Cell and atoms, written as extended XYZ:
```
11
Lattice="4.063 0.000 0.000 0.000 7.414 0.000 0.000 -3.707 6.421" Properties=species:S:1:pos:R:3 pbc="T T T"
Ga 0.000 3.707 0.429
Ga 2.031 1.522 5.160
Ga 0.000 2.225 2.996
Ga 2.031 -1.522 5.160
Ga 0.000 5.189 2.996
Ga 2.031 0.000 2.523
Pt 0.000 0.000 4.281
Pt 2.031 3.707 3.834
Pt 2.031 2.241 1.294
Pt 2.031 5.174 1.294
Nd 0.000 0.000 0.000
```

***

[2]
Density functional theory data (PBE) for a relaxed structure of TlTcMo2.

Computed properties:
Spin magnetization ... 0.000 μB/atom
DOS at the Fermi energy ... 6.15 states/eV per cell
Formation energy ... 0.73 eV per atom

Cell and atoms, written as extended XYZ:
```
4
Lattice="-0.303 -4.392 -1.282 -2.245 -3.008 2.634 -4.021 -1.710 -1.389" Properties=species:S:1:pos:R:3 pbc="T T T"
Mo -1.642 -2.278 -0.009
Mo -4.927 -6.833 -0.028
Tc 0.000 0.000 0.000
Tl -3.285 -4.555 -0.019
```

***

What is the formula in the second record?
TlTcMo2

***

Copy entry 1 word for word.
Density functional theory data (PBE) for a relaxed structure of NdGa6Pt4.

Computed properties:
Spin magnetization ... 0.000 μB/atom
DOS at the Fermi energy ... 5.37 states/eV per cell
Formation energy ... -0.77 eV per atom

Cell and atoms, written as extended XYZ:
```
11
Lattice="4.063 0.000 0.000 0.000 7.414 0.000 0.000 -3.707 6.421" Properties=species:S:1:pos:R:3 pbc="T T T"
Ga 0.000 3.707 0.429
Ga 2.031 1.522 5.160
Ga 0.000 2.225 2.996
Ga 2.031 -1.522 5.160
Ga 0.000 5.189 2.996
Ga 2.031 0.000 2.523
Pt 0.000 0.000 4.281
Pt 2.031 3.707 3.834
Pt 2.031 2.241 1.294
Pt 2.031 5.174 1.294
Nd 0.000 0.000 0.000
```

***

Copy entry 1 word for word.
Density functional theory data (PBE) for a relaxed structure of NdGa6Pt4.

Computed properties:
Spin magnetization ... 0.000 μB/atom
DOS at the Fermi energy ... 5.37 states/eV per cell
Formation energy ... -0.77 eV per atom

Cell and atoms, written as extended XYZ:
```
11
Lattice="4.063 0.000 0.000 0.000 7.414 0.000 0.000 -3.707 6.421" Properties=species:S:1:pos:R:3 pbc="T T T"
Ga 0.000 3.707 0.429
Ga 2.031 1.522 5.160
Ga 0.000 2.225 2.996
Ga 2.031 -1.522 5.160
Ga 0.000 5.189 2.996
Ga 2.031 0.000 2.523
Pt 0.000 0.000 4.281
Pt 2.031 3.707 3.834
Pt 2.031 2.241 1.294
Pt 2.031 5.174 1.294
Nd 0.000 0.000 0.000
```

***

The lowest DOS at the Fermi energy belongs to which entry?
NdGa6Pt4